A plane-wave DFT calculation with PBE+U was carried out for crystalline LiV6O15 at its relaxed geometry.

Values from the calculation:
Uncorrected energy   -7.3389 eV per atom
Crystal system   monoclinic
Polymorph energy (0 for the lowest one)   2.0 meV/atom

Cell: 8.0239 8.0239 10.3309 Å, 69.90 69.90 26.32°
With the nearest neighbours (Å) after each atom.
Sites, in units of the cell vectors:
O1 0.5961 0.5961 0.4907  1 V 1.67
O2 0.4385 0.4385 0.7610  1 V 1.63
O3 0.9964 0.9964 0.9904  2 V 1.76-1.87
O4 0.8840 0.8840 0.2577  1 V 1.62
O5 0.7584 0.7584 0.5701  3 V 1.90-2.03
O6 0.5598 0.5598 0.2154  1 V 1.60
O7 0.1812 0.1812 0.0405  2 V 1.92
O8 0.3630 0.3630 0.0592  3 V 1.92-2.06
O9 0.8174 0.8174 0.9301  2 V 1.90
O10 0.2490 0.2490 0.4173  3 V 1.93-1.95
O11 0.6326 0.6326 0.9195  3 V 1.91-2.07
O12 0.7340 0.7340 0.2071  3 V 1.85-2.06
O13 0.4011 0.4011 0.5136  1 V 1.61
O14 0.1083 0.1083 0.7254  1 V 1.65
O15 0.2649 0.2649 0.7681  2 V 1.85-1.90
V1 0.2912 0.2912 0.5737  1 O 1.61
V2 0.8738 0.8738 0.1073  1 O 1.62
V3 0.7095 0.7095 0.4127  1 O 1.67
V4 0.6605 0.6605 0.1008  1 O 1.60
V5 0.1124 0.1124 0.8831  2 O 1.65-1.76
V6 0.3364 0.3364 0.8777  1 O 1.63
Li1 0.0399 0.0399 0.5909  3 O 2.03-2.13


A plane-wave DFT calculation with PBE+U was carried out for crystalline Li5V3O12 at its relaxed geometry.

Values from the calculation:
Uncorrected energy   -5.8089 eV per atom
Crystal system   cubic

Cell: 9.8647 9.8647 9.8647 Å, 109.47 109.47 109.47°
With the nearest neighbours (Å) after each atom.
Sites, in units of the cell vectors:
Li1 0.3750 0.1250 0.7500  4 O 1.83
Li2 0.6250 0.8750 0.2500  4 O 1.83
Li3 0.0000 0.0000 0.5000  6 O 2.05
Li4 0.1250 0.7500 0.3750  4 O 1.83
Li5 0.3750 0.2500 0.1250  4 O 1.83
Li6 0.5000 0.0000 0.0000  6 O 2.05
Li7 0.1250 0.3750 0.2500  4 O 1.83
Li8 0.8750 0.6250 0.7500  4 O 1.83
Li9 0.7500 0.1250 0.8750  4 O 1.83
Li10 0.2500 0.3750 0.6250  4 O 1.83
Li11 0.7500 0.6250 0.3750  4 O 1.83
Li12 0.8750 0.2500 0.6250  4 O 1.83
Li13 0.5000 0.0000 0.5000  6 O 2.05
Li14 0.0000 0.5000 0.5000  6 O 2.05
Li15 0.2500 0.8750 0.1250  4 O 1.83
Li16 0.0000 0.5000 0.0000  6 O 2.05
Li17 0.5000 0.5000 0.5000  6 O 2.05
Li18 0.6250 0.7500 0.8750  4 O 1.83
Li19 0.0000 0.0000 0.0000  6 O 2.05
Li20 0.5000 0.5000 0.0000  6 O 2.05
V1 0.2500 0.1250 0.3750  4 O 1.95
V2 0.3750 0.7500 0.6250  4 O 1.95
V3 0.6250 0.2500 0.3750  4 O 1.95
V4 0.8750 0.7500 0.1250  4 O 1.95
V5 0.6250 0.3750 0.7500  4 O 1.95
V6 0.8750 0.1250 0.2500  4 O 1.95
V7 0.7500 0.3750 0.1250  4 O 1.95
V8 0.1250 0.2500 0.8750  4 O 1.95
V9 0.2500 0.6250 0.8750  4 O 1.95
V10 0.7500 0.8750 0.6250  4 O 1.95
V11 0.1250 0.8750 0.7500  4 O 1.95
V12 0.3750 0.6250 0.2500  4 O 1.95
O1 0.6081 0.7414 0.6815  1 Li 1.83, 1 V 1.95
O2 0.2586 0.8667 0.9401  1 Li 1.83, 1 V 1.95
O3 0.8185 0.9266 0.0599  1 Li 1.83, 1 V 1.95
O4 0.1081 0.9266 0.3667  1 Li 1.83, 1 V 1.95
O5 0.4266 0.3667 0.6081  1 Li 1.83, 1 V 1.95
O6 0.3919 0.1333 0.5734  1 Li 1.83, 1 V 1.95
O7 0.6815 0.4401 0.5734  1 Li 1.83, 1 V 1.95
O8 0.9401 0.5734 0.1815  1 Li 1.83, 1 V 1.95
O9 0.2414 0.6815 0.1081  1 Li 1.83, 1 V 1.95
O10 0.4401 0.7586 0.8667  1 Li 1.83, 1 V 1.95
O11 0.8667 0.6081 0.9266  1 Li 1.83, 1 V 1.95
O12 0.9266 0.1081 0.8667  1 Li 1.83, 1 V 1.95
O13 0.5599 0.2414 0.1333  1 Li 1.83, 1 V 1.95
O14 0.2586 0.3919 0.8185  1 Li 1.83, 1 V 1.95
O15 0.7414 0.6081 0.1815  1 Li 1.83, 1 V 1.95
O16 0.9401 0.3667 0.2586  1 Li 1.83, 1 V 1.95
O17 0.6081 0.8667 0.4266  1 Li 1.83, 1 V 1.95
O18 0.8919 0.8185 0.7586  1 Li 1.83, 1 V 1.95
O19 0.1081 0.1815 0.2414  1 Li 1.83, 1 V 1.95
O20 0.6815 0.2414 0.6081  1 Li 1.83, 1 V 1.95
O21 0.0599 0.6333 0.7414  1 Li 1.83, 1 V 1.95
O22 0.0599 0.4266 0.8185  1 Li 1.83, 1 V 1.95
O23 0.3185 0.7586 0.3919  1 Li 1.83, 1 V 1.95
O24 0.8919 0.0734 0.6333  1 Li 1.83, 1 V 1.95
O25 0.7414 0.1333 0.0599  1 Li 1.83, 1 V 1.95
O26 0.0734 0.8919 0.1333  1 Li 1.83, 1 V 1.95
O27 0.5734 0.9401 0.6815  1 Li 1.83, 1 V 1.95
O28 0.7586 0.3185 0.8919  1 Li 1.83, 1 V 1.95
O29 0.7586 0.4401 0.3667  1 Li 1.83, 1 V 1.95
O30 0.2414 0.5599 0.6333  1 Li 1.83, 1 V 1.95
O31 0.1333 0.3919 0.0734  1 Li 1.83, 1 V 1.95
O32 0.3919 0.2586 0.3185  1 Li 1.83, 1 V 1.95
O33 0.5734 0.6333 0.3919  1 Li 1.83, 1 V 1.95
O34 0.8185 0.8919 0.2586  1 Li 1.83, 1 V 1.95
O35 0.1815 0.1081 0.7414  1 Li 1.83, 1 V 1.95
O36 0.3185 0.5599 0.4266  1 Li 1.83, 1 V 1.95
O37 0.0734 0.1815 0.4401  1 Li 1.83, 1 V 1.95
O38 0.4401 0.6815 0.0734  1 Li 1.83, 1 V 1.95
O39 0.3667 0.4266 0.1081  1 Li 1.83, 1 V 1.95
O40 0.8667 0.2586 0.4401  1 Li 1.83, 1 V 1.95
O41 0.9266 0.8185 0.5599  1 Li 1.83, 1 V 1.95
O42 0.1333 0.7414 0.5599  1 Li 1.83, 1 V 1.95
O43 0.5599 0.3185 0.9266  1 Li 1.83, 1 V 1.95
O44 0.6333 0.0599 0.2414  1 Li 1.83, 1 V 1.95
O45 0.3667 0.9401 0.7586  1 Li 1.83, 1 V 1.95
O46 0.4266 0.0599 0.3185  1 Li 1.83, 1 V 1.95
O47 0.6333 0.5734 0.8919  1 Li 1.83, 1 V 1.95
O48 0.1815 0.0734 0.9401  1 Li 1.83, 1 V 1.95


A plane-wave DFT calculation with PBE+U was carried out for crystalline LiVO3 at its relaxed geometry.

Values from the calculation:
Uncorrected energy   -6.7451 eV per atom
Crystal system   monoclinic

Cell: 6.4778 6.4778 6.1551 Å, 77.32 77.32 25.84°
With the nearest neighbours (Å) after each atom.
Sites, in units of the cell vectors:
O1 0.5254 0.5254 0.2414  1 V 1.74
O2 0.8269 0.8269 0.0370  3 V 2.01-2.04, 1 Li 2.15
O3 0.8209 0.8209 0.6282  2 V 1.85
O4 0.1731 0.1731 0.9630  3 V 2.01-2.04, 1 Li 2.15
O5 0.1791 0.1791 0.3718  2 V 1.85
O6 0.4746 0.4746 0.7586  1 V 1.74
V1 0.6661 0.6661 0.1932  3 O 1.74-1.85
V2 0.3339 0.3339 0.8068  3 O 1.74-1.85
Li1 0.0000 0.0000 0.5000  6 O 2.12-2.22
Li2 0.0000 0.0000 0.0000  6 O 2.15


A plane-wave DFT calculation with PBE+U was carried out for crystalline LiVO2 at its relaxed geometry.

Values from the calculation:
Uncorrected energy   -6.8831 eV per atom
Crystal system   hexagonal

Cell: 2.9697 2.9697 10.1092 Å, 90.00 90.00 120.00°
With the nearest neighbours (Å) after each atom.
Sites, in units of the cell vectors:
V1 0.3333 0.6667 0.0002  6 O 2.06-2.07
V2 0.6667 0.3333 0.5002  6 O 2.06-2.07
Li1 0.6667 0.3333 0.2381  6 O 2.12-2.29
Li2 0.3333 0.6667 0.7381  6 O 2.12-2.29
O1 0.0000 0.0000 0.6147  3 V 2.07, 3 Li 2.12
O2 0.3333 0.6667 0.3880  3 V 2.06, 3 Li 2.29
O3 0.0000 0.0000 0.1147  3 V 2.07, 3 Li 2.12
O4 0.6667 0.3333 0.8880  3 V 2.06, 3 Li 2.29


A plane-wave DFT calculation with PBE+U was carried out for crystalline LiV4O8 at its relaxed geometry.

Values from the calculation:
Uncorrected energy   -7.2815 eV per atom
Crystal system   monoclinic
Polymorph energy (0 for the lowest one)   204.6 meV/atom

Cell: 5.4816 5.4816 6.2422 Å, 88.46 88.46 116.08°
With the nearest neighbours (Å) after each atom.
Sites, in units of the cell vectors:
O1 0.7053 0.3112 0.7909  1 V 1.67
O2 0.2826 0.7418 0.7181  2 V 1.80-1.89
O3 0.6888 0.2947 0.2091  1 V 1.67
O4 0.2582 0.7174 0.2819  2 V 1.80-1.89
O5 0.7790 0.7770 0.4906  3 V 1.89-2.11
O6 0.2146 0.2031 0.0090  2 V 1.84-2.03, 1 Li 1.93
O7 0.7969 0.7854 0.9910  2 V 1.84-2.03, 1 Li 1.93
O8 0.2230 0.2210 0.5094  3 V 1.89-2.11
V1 0.3957 0.6043 0.5000  4 O 1.80-1.89
V2 0.0627 0.9261 0.7326  4 O 1.89-2.11
V3 0.0739 0.9373 0.2674  4 O 1.89-2.11
V4 0.5851 0.4149 0.0000  4 O 1.67-1.84
Li1 0.8441 0.1559 0.0000  4 O 1.89-1.93


A plane-wave DFT calculation with PBE+U was carried out for crystalline LiV2O4 at its relaxed geometry.

Values from the calculation:
Uncorrected energy   -7.2413 eV per atom
Crystal system   monoclinic
Polymorph energy (0 for the lowest one)   85.4 meV/atom

Cell: 5.4136 10.5695 10.1320 Å, 16.52 27.69 31.91°
With the nearest neighbours (Å) after each atom.
Sites, in units of the cell vectors:
Li1 0.5000 0.5000 0.5000  6 O 2.19-2.42
O1 0.2730 0.0001 0.2541  3 V 2.03-2.04, 2 Li 2.19
O2 0.3133 0.5001 0.2435  3 V 1.91-2.02
O3 0.6867 0.4999 0.7565  3 V 1.91-2.02
O4 0.7270 0.9999 0.7459  3 V 2.03-2.04, 2 Li 2.19
V1 0.0000 0.0000 0.0000  6 O 2.02-2.04
V2 0.0000 0.5000 0.0000  6 O 1.91-2.03


Number 1: volume 276 Å³/cell, total moment 1.01 μB per cell. Number 2: volume 739 Å³/cell, total moment 16.01 μB per cell. Number 3: volume 110 Å³/cell, total moment 0.00 μB per cell. Number 4: volume 77 Å³/cell, total moment 4.00 μB per cell. Number 5: volume 168 Å³/cell, total moment 5.00 μB per cell. Number 6: volume 77 Å³/cell, total moment 3.00 μB per cell.